Compound: Nd4Zn2In5
Source: Alexandria
Functional: GGA-PBE
Structure: relaxed

```
data_Nd4Zn2In5
_chemical_formula_sum 'Nd4 Zn2 In5'
_symmetry_space_group_name_H-M 'P 1 2/m 1'
_symmetry_Int_Tables_number 10
_cell_length_a 7.869
_cell_length_b 3.708
_cell_length_c 10.061
_cell_angle_alpha 90.00
_cell_angle_beta 93.98
_cell_angle_gamma 90.00
loop_
_symmetry_equiv_pos_as_xyz
'x,y,z'
'-x,-y,-z'
'-x,y,-z'
'x,-y,z'
loop_
_atom_site_label
_atom_site_type_symbol
_atom_site_fract_x
_atom_site_fract_y
_atom_site_fract_z
Nd1 Nd 0.174 0.000 0.375
Nd2 Nd 0.261 0.000 0.941
Zn1 Zn 0.058 0.500 0.128
In1 In 0.183 0.500 0.665
In2 In 0.437 0.500 0.195
In3 In 0.500 0.500 0.500
```

Summary:
raw total energy: -3.608 eV per atom
DOS(E_F): 10.1 states/eV/f.u.
energy relative to the elements: -0.398 eV per atom